The following is a DFT calculation (GGA-PBE) of an optimized crystal structure of TcAuSe2.

Cell and atoms, written as POSCAR:
```
TcAuSe2
1.0
-3.374 3.738 -3.293
-1.652 -2.638 -1.302
-4.828 2.147 6.132
Se Au Tc
4 2 2
Cartesian
-4.450 1.158 0.042
-5.377 0.039 3.486
-6.562 3.295 2.763
-5.636 4.414 -0.682
-3.918 -0.166 -2.315
-2.231 -2.035 -0.668
-4.455 2.149 2.413
-6.557 2.303 0.391
```

Calculated values
Symmetry: C2/m, No. 12
Spin magnetization (μB per cell): 0.00
Energy (eV for the cell shown): -42.4
E above lowest polymorph (eV/atom): 0.060
ΔE_f (raw) (meV per atom): -143.3